Below is KPWO2 after structural relaxation, with properties calculated at the PBE with a Hubbard U level.

Lattice parameters (Å, degrees): 4.0494 4.0494 4.8758 90.00 90.00 90.00
Closest atoms and distances in Å follow each position.
Atoms (fractional coordinates):
K 0.0000 0.0000 0.0000  4 P 2.86, 8 O 3.17
P 0.5000 0.5000 0.0000  2 W 2.44
W 0.5000 0.5000 0.5000  4 O 2.02
O 0.0000 0.5000 0.5000  2 W 2.02
O 0.5000 0.0000 0.5000  2 W 2.02

Output
calculated volume: 80 Å³ per cell
total moment: 0.00 μB/atom
crystal system: tetragonal
E above lowest polymorph: 0 meV per atom
symmetry: No. 123